(1)
LaTi2Te2 after structural relaxation, computed with PBEsol.

Calculated values
* crystal system: tetragonal
* total energy: -32.4 eV for the cell shown
* size of the total moment: 0.0 μB per formula unit
* space-group type: No. 139

Lattice parameters (Å, degrees): 5.213 5.634 5.213 62.44 90.00 117.56
Positions (direct):
Te (0.750, 0.500, 0.750)
Te (0.250, 0.500, 0.250)
Ti (0.620, 0.241, 0.380)
Ti (0.380, 0.759, 0.620)
La (0.000, 0.000, 0.000)



(2)
LaTiTe2W after structural relaxation, computed with PBEsol.

Calculated values
* crystal system: tetragonal
* total energy: -25.1 eV for the cell shown
* size of the total moment: 2.4 μB per formula unit
* space-group type: No. 123

Lattice parameters (Å, degrees): 4.986 5.856 5.856 90.00 90.00 90.00
Last column: magnetic moment on the atom in μB.
Positions (direct):
Te (0.000, 0.000, 0.500)  0.09
Te (0.000, 0.500, 0.000)  0.09
Ti (0.500, 0.000, 0.000)  1.23
W (0.500, 0.500, 0.500)  -3.17
La (0.000, 0.000, 0.000)  0.20



(3)
LaTlTe2 after structural relaxation, computed with PBEsol.

Calculated values
* crystal system: cubic
* total energy: -17.3 eV for the cell shown
* size of the total moment: 0.0 μB per formula unit
* space-group type: No. 216

Lattice parameters (Å, degrees): 5.502 5.502 5.502 60.00 60.00 60.00
Positions (direct):
La (0.500, 0.500, 0.500)
Te (0.000, 0.000, 0.000)
Te (0.750, 0.750, 0.750)
Tl (0.250, 0.250, 0.250)



(4)
LaTlTe2 after structural relaxation, computed with PBEsol.

Calculated values
* crystal system: orthorhombic
* total energy: -19.4 eV for the cell shown
* size of the total moment: 0.0 μB per formula unit
* space-group type: No. 38

Lattice parameters (Å, degrees): 4.367 4.755 6.308 90.00 110.26 90.00
Positions (direct):
Tl (0.267, 0.000, 0.409)
Te (0.020, 0.000, 0.914)
Te (0.751, 0.500, 0.376)
La (0.463, 0.500, 0.801)



(5)
LaTl9Te6 after structural relaxation, computed with PBEsol.

Calculated values
* crystal system: tetragonal
* total energy: -57.6 eV for the cell shown
* size of the total moment: 0.0 μB per formula unit
* space-group type: No. 87

Lattice parameters (Å, degrees): 8.780 9.025 8.780 60.89 90.00 119.11
Positions (direct):
La (0.000, 0.000, 0.000)
Tl (0.799, 0.321, 0.683)
Tl (0.522, 0.321, 0.996)
Tl (0.317, 0.321, 0.478)
Tl (0.004, 0.321, 0.201)
Tl (0.201, 0.679, 0.317)
Tl (0.478, 0.679, 0.004)
Tl (0.683, 0.679, 0.522)
Tl (0.996, 0.679, 0.799)
Tl (0.500, 0.000, 0.500)
Te (0.848, 0.000, 0.665)
Te (0.152, 0.000, 0.335)
Te (0.335, 0.000, 0.848)
Te (0.665, 0.000, 0.152)
Te (0.758, 0.515, 0.242)
Te (0.242, 0.485, 0.758)



(6)
LaUTe6 after structural relaxation, computed with PBEsol.

Calculated values
* crystal system: orthorhombic
* total energy: -44.8 eV for the cell shown
* size of the total moment: 2.3 μB per formula unit
* space-group type: No. 38

Lattice parameters (Å, degrees): 4.349 4.354 12.830 90.00 99.76 90.00
Last column: magnetic moment on the atom in μB.
Positions (direct):
Te (0.575, 0.500, 0.150)  -0.02
Te (0.430, 0.000, 0.861)  0.00
Te (0.292, 0.500, 0.583)  -0.02
Te (0.700, 0.000, 0.400)  -0.07
Te (0.931, 0.500, 0.861)  0.00
Te (0.075, 0.000, 0.150)  -0.02
U (0.167, 0.500, 0.333)  2.27
La (0.831, 0.000, 0.663)  -0.01



(7)
LaTeW after structural relaxation, computed with PBEsol.

Calculated values
* crystal system: hexagonal
* total energy: -22.2 eV for the cell shown
* size of the total moment: 0.0 μB per formula unit
* space-group type: No. 187

Lattice parameters (Å, degrees): 3.888 4.660 4.660 120.00 90.00 90.00
Positions (direct):
La (0.500, 0.000, 0.000)
Te (0.000, 0.333, 0.667)
W (0.000, 0.667, 0.333)



(8)
LaTe2W after structural relaxation, computed with PBEsol.

Calculated values
* crystal system: trigonal
* size of the total moment: 0.1 μB per formula unit
* space-group type: No. 166
* relative energy among the computed polymorphs: 0 meV per atom

Lattice parameters (Å, degrees): 4.444 4.444 6.359 69.55 69.55 60.00
Last column: magnetic moment on the atom in μB.
Positions (direct):
La (0.500, 0.500, 0.500)  0.00
Te (0.729, 0.729, 0.812)  0.00
Te (0.271, 0.271, 0.188)  0.00
W (0.000, 0.000, 0.000)  0.05



(9)
LaTe2W after structural relaxation, computed with PBEsol.

Calculated values
* crystal system: tetragonal
* size of the total moment: 0.0 μB per formula unit
* space-group type: No. 99
* relative energy among the computed polymorphs: 216 meV per atom

Lattice parameters (Å, degrees): 3.761 3.761 6.958 90.00 90.00 90.00
Positions (direct):
La (0.500, 0.500, 0.760)
Te (0.000, 0.000, 0.002)
Te (0.500, 0.500, 0.296)
W (0.000, 0.000, 0.442)



(10)
LaTeW2 after structural relaxation, computed with PBEsol.

Calculated values
* crystal system: orthorhombic
* total energy: -33.6 eV for the cell shown
* size of the total moment: 0.0 μB per formula unit
* space-group type: No. 47

Lattice parameters (Å, degrees): 3.562 4.662 5.066 90.00 90.00 90.00
Positions (direct):
La (0.500, 0.000, 0.500)
Te (0.000, 0.500, 0.500)
W (0.000, 0.000, 0.000)
W (0.500, 0.500, 0.000)



(11)
LaYTe2 after structural relaxation, computed with PBEsol.

Calculated values
* crystal system: trigonal
* size of the total moment: 0.0 μB per formula unit
* space-group type: No. 166
* relative energy among the computed polymorphs: 530 meV per atom

Lattice parameters (Å, degrees): 4.209 4.209 10.090 77.96 77.96 60.00
Positions (direct):
Y (0.500, 0.500, 0.500)
Te (0.894, 0.894, 0.317)
Te (0.106, 0.106, 0.683)
La (0.000, 0.000, 0.000)



(12)
LaYTe2 after structural relaxation, computed with PBEsol.

Calculated values
* crystal system: orthorhombic
* size of the total moment: 1.0 μB per formula unit
* space-group type: No. 44
* relative energy among the computed polymorphs: 88 meV per atom

Lattice parameters (Å, degrees): 4.068 4.120 7.841 105.23 105.03 90.00
Last column: magnetic moment on the atom in μB.
Positions (direct):
Y (0.457, 0.457, 0.915)  0.27
Te (0.036, 0.036, 0.073)  -0.01
Te (0.800, 0.300, 0.601)  -0.01
La (0.206, 0.706, 0.411)  0.18